No. 1
This record from the Alexandria database describes crystalline AlAsAuSe2 at its relaxed geometry. The functional is PBE.

Cell: 5.263 5.263 4.856 Å, 90.00 90.00 90.00°
Fractional coordinates of all 5 atoms:
Al 0.000 0.000 0.000
As 0.500 0.500 0.000
Au 0.500 0.500 0.500
Se 0.000 0.500 0.500
Se 0.500 0.000 0.500

Summary:
- ΔE to the lowest computed polymorph: 203 meV/atom
- SG: P4/mmm
- Uncorrected energy: -0.224 Ry/atom

=====

No. 2
This record from the Alexandria database describes crystalline Mg8Zn2Pb at its relaxed geometry. The functional is PBE.

Cell: 8.308 8.308 7.283 Å, 113.90 113.90 31.78°
Fractional coordinates of all 11 atoms:
Mg 0.033 0.033 0.241
Mg 0.180 0.180 0.772
Mg 0.321 0.321 0.571
Mg 0.400 0.400 0.026
Mg 0.600 0.600 0.974
Mg 0.679 0.679 0.429
Mg 0.820 0.820 0.228
Mg 0.967 0.967 0.759
Zn 0.193 0.193 0.174
Zn 0.807 0.807 0.826
Pb 0.500 0.500 0.500

Summary:
- SG: C2/m
- Uncorrected energy: -0.130 Ry/atom
- E_form: -38.3 meV per atom

=====

No. 3
This record from the Alexandria database describes crystalline InFeCo at its relaxed geometry. The functional is PBE.

Cell: 5.559 5.559 6.498 Å, 106.94 106.94 76.48°
Fractional coordinates of all 12 atoms:
In 0.057 0.943 0.500
In 0.355 0.638 0.825
In 0.638 0.355 0.325
In 0.943 0.057 0.000
Fe 0.431 0.944 0.265
Fe 0.624 0.785 0.623
Fe 0.785 0.624 0.123
Fe 0.944 0.431 0.765
Co 0.151 0.383 0.418
Co 0.201 0.593 0.152
Co 0.383 0.151 0.918
Co 0.593 0.201 0.652

Summary:
- ΔE to the lowest computed polymorph: 160 meV/atom
- SG: Cc
- Uncorrected energy: -0.427 Ry/atom
- E_form: 291.3 meV per atom